Density functional theory data (PBE) for MnAlZn after structural relaxation.

abc: 5.9128 5.9128 5.9128
angles: 90.00 90.00 90.00
Last column: nearest neighbours and their distance in Å.
Atoms (fractional coordinates):
Mn: 0.0000 0.0000 0.0000  4 Zn 2.56, 4 Al 2.56
Mn: 0.0000 0.5000 0.5000  4 Zn 2.56, 4 Al 2.56
Mn: 0.5000 0.0000 0.5000  4 Zn 2.56, 4 Al 2.56
Mn: 0.5000 0.5000 0.0000  4 Zn 2.56, 4 Al 2.56
Al: 0.2500 0.2500 0.2500  4 Mn 2.56
Al: 0.2500 0.7500 0.7500  4 Mn 2.56
Al: 0.7500 0.2500 0.7500  4 Mn 2.56
Al: 0.7500 0.7500 0.2500  4 Mn 2.56
Zn: 0.2500 0.2500 0.7500  4 Mn 2.56
Zn: 0.2500 0.7500 0.2500  4 Mn 2.56
Zn: 0.7500 0.2500 0.2500  4 Mn 2.56
Zn: 0.7500 0.7500 0.7500  4 Mn 2.56

## Properties
- ΔE_f (meV per atom) = 252
- total DFT energy (no corrections) (eV per atom) = -4.477

***

Density functional theory data (PBE) for Cu4Au3 after structural relaxation.

abc: 3.0251 3.0251 22.4232
angles: 90.00 90.00 90.00
Last column: nearest neighbours and their distance in Å.
Atoms (fractional coordinates):
Cu: 0.0000 0.0000 0.0734  4 Cu 2.51, 4 Au 2.70
Cu: 0.0000 0.0000 0.3682  4 Cu 2.51, 4 Au 2.69
Cu: 0.0000 0.0000 0.6318  4 Cu 2.51, 4 Au 2.69
Cu: 0.0000 0.0000 0.9266  4 Cu 2.51, 4 Au 2.70
Cu: 0.5000 0.5000 0.1318  4 Cu 2.51, 4 Au 2.69
Cu: 0.5000 0.5000 0.4266  4 Cu 2.51, 4 Au 2.70
Cu: 0.5000 0.5000 0.5734  4 Cu 2.51, 4 Au 2.70
Cu: 0.5000 0.5000 0.8682  4 Cu 2.51, 4 Au 2.69
Au: 0.0000 0.0000 0.2042  5 Cu 2.69-2.93, 4 Au 2.96
Au: 0.0000 0.0000 0.5000  10 Cu 2.70-2.95
Au: 0.0000 0.0000 0.7958  5 Cu 2.69-2.93, 4 Au 2.96
Au: 0.5000 0.5000 0.0000  10 Cu 2.70-2.95
Au: 0.5000 0.5000 0.2958  5 Cu 2.69-2.93, 4 Au 2.96
Au: 0.5000 0.5000 0.7042  5 Cu 2.69-2.93, 4 Au 2.96

## Properties
- ΔE_f (meV per atom) = -13
- total DFT energy (no corrections) (eV per atom) = -3.758
- ΔE to the lowest computed polymorph (meV/atom) = 24.5

***

Density functional theory data (PBE) for Li5B8C8 after structural relaxation.

abc: 8.6254 2.7199 8.7657
angles: 90.00 114.88 90.00
Last column: nearest neighbours and their distance in Å.
Atoms (fractional coordinates):
Li: 0.0000 0.0000 0.0000  6 C 2.30-2.48, 6 B 2.32-2.50
Li: 0.0468 0.5000 0.5443  6 B 2.34-2.56, 5 C 2.35-2.40
Li: 0.2958 0.5000 0.2806  6 C 2.34-2.53, 6 B 2.36-2.48
Li: 0.4997 0.5000 0.9926  6 B 2.35-2.45, 6 C 2.36-2.45
Li: 0.7751 0.0000 0.2655  6 C 2.29-2.39, 6 B 2.33-2.41
B: 0.0693 0.0000 0.3074  3 C 1.56-1.58
B: 0.2198 0.5000 0.9750  3 C 1.55-1.58
B: 0.3241 0.5000 0.5603  3 C 1.54-1.58
B: 0.4847 0.0000 0.2173  3 C 1.57
B: 0.5750 0.0000 0.8036  3 C 1.56
B: 0.7394 0.5000 0.4638  3 C 1.57
B: 0.8062 0.5000 0.0638  3 C 1.56-1.58
B: 0.9705 0.0000 0.7249  3 C 1.55-1.57
C: 0.0495 0.5000 0.8138  3 B 1.55-1.57
C: 0.2365 0.0000 0.4745  3 B 1.56-1.58
C: 0.3077 0.0000 0.0599  3 B 1.57-1.58
C: 0.4933 0.5000 0.7206  3 B 1.54-1.56
C: 0.5733 0.5000 0.2952  3 B 1.57
C: 0.7226 0.0000 0.9838  3 B 1.56
C: 0.8248 0.0000 0.5440  3 B 1.55-1.57
C: 0.9825 0.5000 0.2238  3 B 1.58

## Properties
- ΔE_f (meV per atom) = -128
- total DFT energy (no corrections) (eV per atom) = -6.642
- ΔE to the lowest computed polymorph (meV/atom) = 16.7